A plane-wave DFT calculation with PBE-GGA was carried out for a relaxed TbHo3Ir3 crystal.

Properties
- energy relative to the elements (meV/atom) = -726
- magnetic moment (μB per cell) = 0.000
- E_tot (eV/cell) = -100.05

Cell: 6.974 6.974 6.584 Å, 89.97 89.97 90.59°
Positions (direct):
Tb  0.750  0.750  0.001
Tb  0.250  0.250  0.999
Ho  0.755  0.755  0.501
Ho  0.244  0.756  0.500
Ho  0.756  0.244  0.500
Ho  0.241  0.759  0.000
Ho  0.759  0.241  0.000
Ho  0.245  0.245  0.499
Ir  0.000  0.000  0.251
Ir  0.000  0.500  0.749
Ir  0.500  0.000  0.749
Ir  0.000  0.500  0.251
Ir  0.500  0.000  0.251
Ir  0.000  0.000  0.749

---

A plane-wave DFT calculation with PBE-GGA was carried out for a relaxed Ni2AgIr crystal.

Properties
- energy relative to the elements (meV/atom) = 466
- magnetic moment (μB per cell) = 2.304
- E_tot (eV/cell) = -21.41

Cell: 4.282 4.282 4.282 Å, 60.00 60.00 60.00°
Last column: magnetic moment on the atom in μB.
Positions (direct):
Ag  0.500  0.500  0.500  0.04
Ir  0.750  0.750  0.750  0.84
Ni  0.000  0.000  0.000  0.82
Ni  0.250  0.250  0.250  0.69

---

A plane-wave DFT calculation with PBE-GGA was carried out for a relaxed PrTm5Cd4 crystal.

Properties
- energy relative to the elements (meV/atom) = -242
- magnetic moment (μB per cell) = 0.000
- E_tot (eV/cell) = -33.22

Cell: 3.660 3.660 20.120 Å, 90.00 90.00 90.00°
Positions (direct):
Pr  0.000  0.000  0.000
Tm  0.500  0.500  0.125
Tm  0.500  0.500  0.313
Tm  0.500  0.500  0.500
Tm  0.500  0.500  0.687
Tm  0.500  0.500  0.875
Cd  0.000  0.000  0.219
Cd  0.000  0.000  0.405
Cd  0.000  0.000  0.595
Cd  0.000  0.000  0.781

---

A plane-wave DFT calculation with PBE-GGA was carried out for a relaxed La6Tb16Er7 crystal.

Properties
- energy relative to the elements (meV/atom) = 225
- magnetic moment (μB per cell) = 0.002
- E_tot (eV/cell) = -129.05

Cell: 11.236 11.236 11.236 Å, 60.00 60.00 60.00°
Positions (direct):
La  0.274  0.726  0.274
La  0.726  0.274  0.726
La  0.726  0.274  0.274
La  0.274  0.726  0.726
La  0.726  0.726  0.274
La  0.274  0.274  0.726
Tb  0.873  0.873  0.381
Tb  0.873  0.873  0.873
Tb  0.873  0.381  0.873
Tb  0.381  0.873  0.873
Tb  0.127  0.127  0.127
Tb  0.127  0.127  0.619
Tb  0.127  0.619  0.127
Tb  0.619  0.127  0.127
Tb  0.653  0.653  0.042
Tb  0.653  0.653  0.653
Tb  0.653  0.042  0.653
Tb  0.042  0.653  0.653
Tb  0.347  0.347  0.347
Tb  0.347  0.347  0.958
Tb  0.347  0.958  0.347
Tb  0.958  0.347  0.347
Er  0.000  0.000  0.000
Er  0.500  0.000  0.500
Er  0.000  0.500  0.000
Er  0.000  0.500  0.500
Er  0.500  0.000  0.000
Er  0.000  0.000  0.500
Er  0.500  0.500  0.000

---

A plane-wave DFT calculation with PBE-GGA was carried out for a relaxed CdPSe3 crystal.

Properties
- ΔE_f (raw) (eV/atom) = 1.034
- magnetic moment (μB per cell) = 0.683
- E_tot (eV/cell) = -11.61

Cell: 5.175 5.175 5.175 Å, 90.00 90.00 90.00°
Last column: magnetic moment on the atom in μB.
Positions (direct):
P  0.500  0.500  0.500  0.52
Se  0.000  0.500  0.000  -0.08
Se  0.000  0.000  0.500  -0.10
Se  0.500  0.000  0.000  -0.12
Cd  0.000  0.000  0.000  -0.01

---

A plane-wave DFT calculation with PBE-GGA was carried out for a relaxed LiCuAs2 crystal.

Properties
- energy relative to the elements (meV/atom) = -88
- magnetic moment (μB per cell) = 0.000
- E_tot (eV/cell) = -15.66

Cell: 4.710 4.710 4.710 Å, 127.77 127.77 77.00°
Positions (direct):
As  0.000  0.000  0.000
As  0.500  0.500  0.000
Cu  0.250  0.750  0.500
Li  0.750  0.250  0.500

---

A plane-wave DFT calculation with PBE-GGA was carried out for a relaxed Ce8Ge2Os crystal.

Properties
- energy relative to the elements (meV/atom) = -300
- magnetic moment (μB per cell) = 3.269
- E_tot (eV/cell) = -71.23

Cell: 4.439 6.543 9.772 Å, 99.50 103.13 90.00°
Last column: magnetic moment on the atom in μB.
Positions (direct):
Ge  0.175  0.752  0.351  -0.01
Ge  0.825  0.248  0.649  -0.01
Os  0.500  0.000  0.000  -0.03
Ce  0.591  0.501  0.182  0.36
Ce  0.351  0.950  0.701  0.39
Ce  0.218  0.287  0.437  0.53
Ce  0.013  0.260  0.026  0.12
Ce  0.782  0.713  0.563  0.53
Ce  0.649  0.050  0.299  0.39
Ce  0.409  0.499  0.818  0.36
Ce  0.987  0.740  0.974  0.12

---

A plane-wave DFT calculation with PBE-GGA was carried out for a relaxed K4Y3PbO8 crystal.

Properties
- ΔE_f (raw) (eV/atom) = -2.336
- magnetic moment (μB per cell) = 0.000
- E_tot (eV/cell) = -104.54

Cell: 7.035 7.485 7.035 Å, 118.03 120.00 90.00°
Positions (direct):
K  0.500  0.000  0.000
K  0.500  0.000  0.500
K  0.000  0.000  0.000
K  0.000  0.000  0.500
Y  0.500  0.500  0.000
Y  0.500  0.500  0.500
Y  0.000  0.500  0.500
Pb  0.000  0.500  0.000
O  0.237  0.692  0.955
O  0.237  0.692  0.474
O  0.272  0.315  0.543
O  0.718  0.692  0.955
O  0.282  0.308  0.045
O  0.728  0.685  0.457
O  0.763  0.308  0.526
O  0.763  0.308  0.045

---

A plane-wave DFT calculation with PBE-GGA was carried out for a relaxed Pr2Mn2Si2N crystal.

Properties
- ΔE_f (raw) (eV/atom) = -0.756
- magnetic moment (μB per cell) = 0.001
- E_tot (eV/cell) = -52.36

Cell: 4.016 5.844 5.919 Å, 73.59 70.17 69.90°
Positions (direct):
Pr  0.559  0.179  0.704
Pr  0.441  0.821  0.296
Mn  0.193  0.702  0.913
Mn  0.807  0.298  0.087
Si  0.175  0.388  0.261
Si  0.825  0.612  0.739
N  0.000  0.000  0.000

---

A plane-wave DFT calculation with PBE-GGA was carried out for a relaxed Pm6NdTm2Mg crystal.

Properties
- energy relative to the elements (meV/atom) = 108
- magnetic moment (μB per cell) = 0.000
- E_tot (eV/cell) = -85.47

Cell: 9.493 8.584 8.584 Å, 106.39 96.60 96.60°
Positions (direct):
Pm  0.074  0.078  0.739
Pm  0.426  0.261  0.922
Pm  0.926  0.922  0.261
Pm  0.574  0.739  0.078
Pm  0.330  0.033  0.464
Pm  0.170  0.536  0.967
Pm  0.670  0.967  0.536
Pm  0.830  0.464  0.033
Pm  0.096  0.673  0.437
Pm  0.404  0.563  0.327
Pm  0.904  0.327  0.563
Pm  0.596  0.437  0.673
Nd  0.250  0.936  0.064
Nd  0.750  0.064  0.936
Tm  0.406  0.800  0.730
Tm  0.094  0.270  0.200
Tm  0.594  0.200  0.270
Tm  0.906  0.730  0.800
Mg  0.250  0.402  0.598
Mg  0.750  0.598  0.402

---

A plane-wave DFT calculation with PBE-GGA was carried out for a relaxed PmPr3Er7 crystal.

Properties
- energy relative to the elements (meV/atom) = 121
- magnetic moment (μB per cell) = 0.001
- E_tot (eV/cell) = -49.70

Cell: 6.670 6.529 8.632 Å, 81.36 80.89 95.03°
Positions (direct):
Pm  0.500  0.500  0.500
Pr  0.937  0.798  0.161
Pr  0.500  0.000  0.000
Pr  0.063  0.202  0.839
Er  0.777  0.274  0.216
Er  0.735  0.986  0.584
Er  0.293  0.442  0.144
Er  0.707  0.558  0.856
Er  0.000  0.500  0.500
Er  0.265  0.014  0.416
Er  0.223  0.726  0.784

---

A plane-wave DFT calculation with PBE-GGA was carried out for a relaxed La8Ge3RuCl4 crystal.

Properties
- ΔE_f (raw) (eV/atom) = -1.245
- magnetic moment (μB per cell) = 0.000
- E_tot (eV/cell) = -89.86

Cell: 8.718 8.630 8.715 Å, 120.31 120.01 90.00°
Positions (direct):
La  0.234  0.723  0.990
La  0.233  0.723  0.466
La  0.254  0.262  0.508
La  0.756  0.723  0.990
La  0.244  0.277  0.010
La  0.746  0.738  0.492
La  0.767  0.277  0.534
La  0.766  0.277  0.010
Ge  0.500  0.500  0.000
Ge  0.500  0.500  0.500
Ge  0.000  0.500  0.500
Ru  0.000  0.500  0.000
Cl  0.500  0.000  0.000
Cl  0.500  0.000  0.500
Cl  0.000  0.000  0.000
Cl  0.000  0.000  0.500

---

What is the formula in the third record? PrTm5Cd4